[1]
CrFeRh after structural relaxation. Source: Alexandria, functional PBE-GGA.

The distance to the lowest polymorph of the same formula comes out at 1.04 eV/f.u. The calculation puts the formation energy at 0.3677 eV/atom.

The structure belongs to space group F-43m (No. 216); the cell edges are 5.667, 5.667 and 5.667 Å and the angles 90.00°, 90.00° and 90.00°. The distinct sites, in fractional coordinates, are Cr at (0.000, 0.000, 0.000), Fe at (0.250, 0.250, 0.750) and Rh at (0.000, 0.000, 0.500).

[2]
CrFeRh3 after structural relaxation. Source: Alexandria, functional PBE-GGA.

The distance to the lowest polymorph of the same formula comes out at 6.61 eV/f.u. The calculation puts the formation energy at 1.3312 eV/atom.

The structure belongs to space group Pm-3m (No. 221); the cell edges are 4.401, 4.401 and 4.401 Å and the angles 90.00°, 90.00° and 90.00°. The distinct sites, in fractional coordinates, are Cr at (0.000, 0.000, 0.000), Fe at (0.500, 0.500, 0.500) and Rh at (0.000, 0.000, 0.500).

[3]
Cr2FeRh after structural relaxation. Source: Alexandria, functional PBE-GGA.

The distance to the lowest polymorph of the same formula comes out at 0.71 eV/f.u. The calculation puts the formation energy at 0.2199 eV/atom.

The structure belongs to space group Fm-3m (No. 225); the cell edges are 5.857, 5.857 and 5.857 Å and the angles 90.00°, 90.00° and 90.00°. The distinct sites, in fractional coordinates, are Cr at (0.250, 0.250, 0.250), Fe at (0.000, 0.000, 0.000) and Rh at (0.000, 0.000, 0.500).

[4]
Cr2FeRh after structural relaxation. Source: Alexandria, functional PBE-GGA.

The distance to the lowest polymorph of the same formula comes out at 2.08 eV/f.u. The calculation puts the formation energy at 0.5637 eV/atom.

The structure belongs to space group I-42d (No. 122); the cell edges are 3.481, 3.481 and 17.627 Å and the angles 90.00°, 90.00° and 90.00°. The distinct sites, in fractional coordinates, are Cr at (0.209, 0.250, 0.125), Fe at (0.000, 0.000, 0.000) and Rh at (0.000, 0.000, 0.500).

[5]
CrFe2Rh9 after structural relaxation. Source: Alexandria, functional PBE-GGA.

The calculation puts the formation energy at -0.0770 eV/atom.

The structure belongs to space group P4/mmm (No. 123); the cell edges are 3.799, 3.799 and 11.408 Å and the angles 90.00°, 90.00° and 90.00°. The distinct sites, in fractional coordinates, are Cr at (0.000, 0.000, 0.000), Fe at (0.000, 0.000, 0.334), Rh at (0.000, 0.500, 0.164), Rh at (0.000, 0.500, 0.500), Rh at (0.500, 0.500, 0.000) and Rh at (0.500, 0.500, 0.332).

[6]
Cr2FeRh after structural relaxation. Source: Alexandria, functional PBE-GGA.

The distance to the lowest polymorph of the same formula comes out at 0.33 eV/f.u. The calculation puts the formation energy at 0.1260 eV/atom.

The structure belongs to space group Imm2 (No. 44); the cell edges are 2.866, 4.244 and 8.231 Å and the angles 90.00°, 90.00° and 90.00°. The distinct sites, in fractional coordinates, are Cr at (0.000, 0.000, 0.000), Cr at (0.000, 0.500, 0.288), Fe at (0.000, 0.500, 0.752) and Rh at (0.000, 0.000, 0.524).